LaDy3Y6Tm2 PBE optimized geometry; crystal system = monoclinic; calculated formation energy = 0.02 eV/atom; E = -5.514 eV per atom; symmetry = No. 12
1.0
6.173 0.001 0.014
-3.084 5.347 0.014
-1.050 -1.819 11.638
La Dy Y Tm
1 3 6 2
Direct
0.000 0.000 0.000
0.167 0.833 0.500
0.833 0.167 0.500
0.500 0.500 0.500
0.916 0.581 0.749
0.749 0.749 0.252
0.084 0.419 0.251
0.581 0.916 0.749
0.251 0.251 0.748
0.419 0.084 0.251
0.333 0.667 0.000
0.667 0.333 0.000